Ta2MoRh: relaxed, PBE.

The raw total energy comes out at -9.97 eV per atom. Its density is 13.1 g cm⁻³. The crystal system is orthorhombic. The calculation puts the magnetic moment at 0.0 μB per formula unit. As for the energy of formation: 2.0 eV per formula unit. Its space-group type is Immm (71). Its relative energy among the computed polymorphs is 853 meV per atom.

Structure (extended XYZ):
```
4
Lattice="4.786 -1.512 -2.994 -1.138 4.888 2.994 -3.330 -0.061 4.802" Properties=species:S:1:pos:R:3 pbc="T T T"
Ta -3.308 3.573 5.771
Mo 0.000 0.000 0.000
Rh -2.234 2.414 3.898
Ta -1.161 1.254 2.025
```

***

TaMoRh: relaxed, PBE.

The raw total energy comes out at -10.18 eV per atom. Its density is 13.1 g cm⁻³. The crystal system is orthorhombic. The calculation puts the magnetic moment at 0.0 μB per formula unit. As for the energy of formation: -0.5 eV per formula unit. Its space-group type is Fmm2 (42). Its relative energy among the computed polymorphs is 9 meV per atom.

Structure (extended XYZ):
```
3
Lattice="-6.435 1.038 -0.605 -6.252 -0.706 1.565 -0.439 2.304 1.510" Properties=species:S:1:pos:R:3 pbc="T T T"
Mo -12.586 0.349 0.964
Rh -4.555 1.642 1.325
Ta -8.672 0.979 1.140
```

***

Question: The lowest raw total energy belongs to which entry?
Answer: TaMoRh